The following is a PBE calculation of crystalline Fe2IrBr at its relaxed geometry, from the Alexandria database.

Lattice parameters (Å, degrees): 3.0220 3.0220 7.0994 90.00 90.00 90.00
Space group P4/mmm (No. 123)
Symmetry-distinct sites (fractional):
1 Fe 0.0000 0.0000 0.2179
2 Ir 0.5000 0.5000 0.0000
3 Br 0.5000 0.5000 0.5000

## Properties
The value obtained for the density of states at the Fermi level is 3.7 states/eV/cell. The uncorrected formation energy is 0.426 eV/atom. The total energy comes out at -6.44 eV/atom. The energy above the most stable polymorph in this dataset comes out at 92 meV per atom.

The following is a PBE calculation of crystalline Fe2IrBr at its relaxed geometry, from the Alexandria database.

Lattice parameters (Å, degrees): 3.0075 3.0075 23.9319 90.00 90.00 120.00
Space group R-3m (No. 166, hexagonal axes)
Symmetry-distinct sites (fractional):
1 Fe 0.0000 0.0000 0.2466
2 Ir 0.0000 0.0000 0.5000
3 Br 0.0000 0.0000 0.0000

## Properties
The value obtained for the density of states at the Fermi level is 16.2 states/eV/cell. The uncorrected formation energy is 0.481 eV/atom. The total energy comes out at -6.38 eV/atom. The energy above the most stable polymorph in this dataset comes out at 147 meV per atom.

The following is a PBE calculation of crystalline Fe2IrBr at its relaxed geometry, from the Alexandria database.

Lattice parameters (Å, degrees): 4.5691 4.5691 2.8831 90.00 90.00 90.00
Space group P4/mmm (No. 123)
Symmetry-distinct sites (fractional):
1 Fe 0.0000 0.5000 0.0000
2 Ir 0.0000 0.0000 0.5000
3 Br 0.5000 0.5000 0.5000

## Properties
The value obtained for the density of states at the Fermi level is 5.6 states/eV/cell. The uncorrected formation energy is 0.655 eV/atom. The total energy comes out at -6.21 eV/atom. The energy above the most stable polymorph in this dataset comes out at 322 meV per atom.

The following is a PBE calculation of crystalline Fe2IrBr at its relaxed geometry, from the Alexandria database.

Lattice parameters (Å, degrees): 2.9851 4.4978 8.8125 90.00 90.00 90.00
Space group Immm (No. 71)
Symmetry-distinct sites (fractional):
1 Fe 0.0000 0.0000 0.2433
2 Ir 0.0000 0.5000 0.0000
3 Br 0.0000 0.5000 0.5000

## Properties
The value obtained for the density of states at the Fermi level is 6.4 states/eV/cell. The uncorrected formation energy is 0.758 eV/atom. The total energy comes out at -6.11 eV/atom. The energy above the most stable polymorph in this dataset comes out at 424 meV per atom.

The following is a PBE calculation of crystalline FeIr2Br at its relaxed geometry, from the Alexandria database.

Lattice parameters (Å, degrees): 8.6786 2.8625 6.6563 90.00 90.97 90.00
Space group Cm (No. 8)
Symmetry-distinct sites (fractional):
1 Fe 0.0000 0.0000 0.0000
2 Ir 0.0606 0.5000 0.6920
3 Ir 0.2879 0.0000 0.8099
4 Br 0.0190 0.5000 0.3032

## Properties
The value obtained for the density of states at the Fermi level is 8.2 states/eV/cell. The uncorrected formation energy is 0.506 eV/atom. The total energy comes out at -6.46 eV/atom. The energy above the most stable polymorph in this dataset comes out at 8 meV per atom.

The following is a PBE calculation of crystalline Fe2IrBr at its relaxed geometry, from the Alexandria database.

Lattice parameters (Å, degrees): 3.8658 3.0081 6.7997 90.00 90.40 90.00
Space group Pm (No. 6)
Symmetry-distinct sites (fractional):
1 Fe 0.0000 0.0000 0.0000
2 Fe 0.0040 0.5000 0.3226
3 Ir 0.5028 0.0000 0.2305
4 Br 0.9982 0.5000 0.7101

## Properties
The value obtained for the density of states at the Fermi level is 3.8 states/eV/cell. The uncorrected formation energy is 0.418 eV/atom. The total energy comes out at -6.45 eV/atom. The energy above the most stable polymorph in this dataset comes out at 84 meV per atom.

What is the formula in the second record? Fe2IrBr

uncorrected formation energy of number 1 (Fe2IrBr)? 0.426 eV/atom

The highest uncorrected formation energy belongs to which entry? number 4

What is the uncorrected formation energy in the first record? 0.426 eV/atom